1.
A relaxed structure of Y6Tm2In, computed with GGA-PBE.

- offset from the most stable computed form (eV/atom) = 0.003
- total moment (μB per cell) = 0.00
- symmetry = P6/mmm

Lattice parameters (Å, degrees): 9.593 9.593 3.412 90.00 90.00 120.00
Fractional coordinates of all 9 atoms:
1 Y 0.000 0.328 0.000
2 Y 0.000 0.672 0.000
3 Y 0.328 0.000 0.000
4 Y 0.328 0.328 0.000
5 Y 0.672 0.000 0.000
6 Y 0.672 0.672 0.000
7 Tm 0.333 0.667 0.500
8 Tm 0.667 0.333 0.500
9 In 0.000 0.000 0.500

---

2.
A relaxed structure of Y2TmIn, computed with GGA-PBE.

- offset from the most stable computed form (eV/atom) = 0.117
- total moment (μB per cell) = 0.99
- symmetry = Fm-3m

Lattice parameters (Å, degrees): 5.439 5.439 5.439 60.00 60.00 60.00
Fractional coordinates of all 4 atoms:
1 Y 0.250 0.250 0.250
2 Y 0.750 0.750 0.750
3 Tm 0.000 0.000 0.000
4 In 0.500 0.500 0.500

---

3.
A relaxed structure of Y6TmIn, computed with GGA-PBE.

- offset from the most stable computed form (eV/atom) = 0.000
- total moment (μB per cell) = 0.00
- symmetry = P4/mmm

Lattice parameters (Å, degrees): 4.917 4.917 10.058 90.00 90.00 90.00
Fractional coordinates of all 8 atoms:
1 Y 0.000 0.000 0.000
2 Y 0.000 0.000 0.500
3 Y 0.000 0.500 0.245
4 Y 0.000 0.500 0.755
5 Y 0.500 0.000 0.245
6 Y 0.500 0.000 0.755
7 Tm 0.500 0.500 0.500
8 In 0.500 0.500 0.000

---

4.
A relaxed structure of Y4TmIn, computed with GGA-PBE.

- offset from the most stable computed form (eV/atom) = 0.326
- total moment (μB per cell) = 0.00
- symmetry = C2/m

Lattice parameters (Å, degrees): 5.162 5.162 9.571 105.66 105.66 59.86
Fractional coordinates of all 6 atoms:
1 Y 0.121 0.121 0.362
2 Y 0.376 0.376 0.128
3 Y 0.624 0.624 0.872
4 Y 0.879 0.879 0.638
5 Tm 0.500 0.500 0.500
6 In 0.000 0.000 0.000

---

5.
A relaxed structure of YTmZnIn, computed with GGA-PBE.

- total moment (μB per cell) = 0.00
- DFT total energy (eV per cell) = -16.55
- symmetry = F-43m

Lattice parameters (Å, degrees): 5.168 5.168 5.168 60.00 60.00 60.00
Fractional coordinates of all 4 atoms:
1 Y 0.000 0.000 0.000
2 Tm 0.500 0.500 0.500
3 Zn 0.250 0.250 0.250
4 In 0.750 0.750 0.750

---

6.
A relaxed structure of YTmZrIn, computed with GGA-PBE.

- total moment (μB per cell) = 2.70
- DFT total energy (eV per cell) = -22.55
- symmetry = F-43m

Lattice parameters (Å, degrees): 5.315 5.315 5.315 60.00 60.00 60.00
Fractional coordinates of all 4 atoms:
1 Y 0.000 0.000 0.000
2 Tm 0.500 0.500 0.500
3 Zr 0.250 0.250 0.250
4 In 0.750 0.750 0.750

---

Please write out number 6 again, unchanged.
A relaxed structure of YTmZrIn, computed with GGA-PBE.

- total moment (μB per cell) = 2.70
- DFT total energy (eV per cell) = -22.55
- symmetry = F-43m

Lattice parameters (Å, degrees): 5.315 5.315 5.315 60.00 60.00 60.00
Fractional coordinates of all 4 atoms:
1 Y 0.000 0.000 0.000
2 Tm 0.500 0.500 0.500
3 Zr 0.250 0.250 0.250
4 In 0.750 0.750 0.750

---

Which of these has the highest total moment? YTmZrIn

---

What did the first record say?
A relaxed structure of Y6Tm2In, computed with GGA-PBE.

- offset from the most stable computed form (eV/atom) = 0.003
- total moment (μB per cell) = 0.00
- symmetry = P6/mmm

Lattice parameters (Å, degrees): 9.593 9.593 3.412 90.00 90.00 120.00
Fractional coordinates of all 9 atoms:
1 Y 0.000 0.328 0.000
2 Y 0.000 0.672 0.000
3 Y 0.328 0.000 0.000
4 Y 0.328 0.328 0.000
5 Y 0.672 0.000 0.000
6 Y 0.672 0.672 0.000
7 Tm 0.333 0.667 0.500
8 Tm 0.667 0.333 0.500
9 In 0.000 0.000 0.500